Tb2Pr4Ho5: optimized geometry, GGA-PBE.

a b c (Å): 12.277 12.277 8.883
angles (deg): 99.99 99.99 16.57
Atoms (fractional coordinates):
Tb (0.102, 0.102, 0.188)
Tb (0.898, 0.898, 0.812)
Pr (0.029, 0.029, 0.695)
Pr (0.370, 0.370, 0.464)
Pr (0.630, 0.630, 0.536)
Pr (0.971, 0.971, 0.305)
Ho (0.184, 0.184, 0.902)
Ho (0.231, 0.231, 0.327)
Ho (0.500, 0.500, 0.000)
Ho (0.769, 0.769, 0.673)
Ho (0.816, 0.816, 0.098)

Computed properties:
SG = No. 12
Formation energy from the elements = 0.22 eV/atom
ΔE to the lowest computed polymorph = 117 meV per atom


Mg2InCoC: optimized geometry, GGA-PBE.

a b c (Å): 4.556 4.556 3.714
angles (deg): 90.00 90.00 90.00
Atoms (fractional coordinates):
Mg (0.000, 0.500, 0.000)
Mg (0.500, 0.000, 0.000)
In (0.000, 0.000, 0.500)
Co (0.500, 0.500, 0.500)
C (0.500, 0.500, 0.000)

Computed properties:
SG = No. 123
Formation energy from the elements = 0.11 eV/atom


Rb2InIrS: optimized geometry, GGA-PBE.

a b c (Å): 6.501 6.501 4.314
angles (deg): 90.00 90.00 90.00
Atoms (fractional coordinates):
Rb (0.000, 0.500, 0.000)
Rb (0.500, 0.000, 0.000)
In (0.000, 0.000, 0.500)
Ir (0.500, 0.500, 0.500)
S (0.500, 0.500, 0.000)

Computed properties:
SG = No. 123
Formation energy from raw total energies = 0.00 eV per atom


K3Zr3Te8Pd: optimized geometry, GGA-PBE.

a b c (Å): 8.500 8.500 9.889
angles (deg): 117.79 117.79 56.65
Atoms (fractional coordinates):
K (0.000, 0.000, 0.000)
K (0.000, 0.500, 0.000)
K (0.500, 0.000, 0.000)
Zr (0.000, 0.500, 0.500)
Zr (0.500, 0.000, 0.500)
Zr (0.500, 0.500, 0.500)
Te (0.215, 0.753, 0.684)
Te (0.247, 0.785, 0.316)
Te (0.266, 0.266, 0.296)
Te (0.277, 0.277, 0.727)
Te (0.723, 0.723, 0.273)
Te (0.734, 0.734, 0.704)
Te (0.753, 0.215, 0.684)
Te (0.785, 0.247, 0.316)
Pd (0.000, 0.000, 0.500)

Computed properties:
SG = No. 12
Formation energy from raw total energies = -0.85 eV per atom


> What is the formula in the fourth record?

K3Zr3Te8Pd